Entry 1:
Density functional theory data (PBE) for a relaxed Mn8Nb3Ir crystal.

The magnetic moment is 0.02 μB/f.u. For the total DFT energy (no corrections), the calculation gives -9.545 eV per atom. The value obtained for the energy of formation is -0.176 eV/atom.

Lattice parameters (Å, degrees): 4.7579 4.7579 7.8624 90.00 90.00 120.00
Atoms (fractional coordinates):
Mn: 0.1613 0.8387 0.2522
Mn: 0.1613 0.3225 0.2522
Mn: 0.5062 0.4938 0.7472
Mn: 0.3333 0.6667 0.4986
Mn: 0.6775 0.8387 0.2522
Mn: 0.5062 0.0124 0.7472
Mn: 0.3333 0.6667 0.9972
Mn: 0.9876 0.4938 0.7472
Nb: 0.6667 0.3333 0.0648
Nb: 0.0000 0.0000 0.9303
Nb: 0.6667 0.3333 0.4422
Ir: 0.0000 0.0000 0.5688

---

Entry 2:
Density functional theory data (PBE) for a relaxed SiNi2Rh crystal.

The value obtained for the uncorrected formation energy is -0.4108 eV/atom. The magnetic moment is 0.31 μB/f.u. For the total DFT energy (no corrections), the calculation gives -6.495 eV per atom.

Lattice parameters (Å, degrees): 4.2797 4.2797 4.2797 127.81 127.81 76.93
Each line ends with the local moment (μB).
Atoms (fractional coordinates):
Si: 0.7500 0.2500 0.5000  0.00
Ni: 0.2500 0.7500 0.5000  0.17
Ni: 0.0000 0.0000 0.0000  0.09
Rh: 0.5000 0.5000 0.0000  0.07

---

Entry 3:
Density functional theory data (PBE) for a relaxed MgMnGaSiS crystal.

The value obtained for the relative energy among the computed polymorphs is 108 meV per atom. The value obtained for the uncorrected formation energy is -0.2122 eV/atom. The magnetic moment is 0.87 μB/f.u. For the total DFT energy (no corrections), the calculation gives -4.880 eV per atom.

Lattice parameters (Å, degrees): 8.2078 3.2239 7.5294 90.00 115.43 90.00
Each line ends with the local moment (μB).
Atoms (fractional coordinates):
S: 0.5214 0.0000 0.0406  -0.01
S: 0.5214 0.5000 0.5406  -0.01
Mn: 0.0272 0.5000 0.0439  0.96
Mn: 0.0272 0.0000 0.5439  0.96
Mg: 0.3597 0.5000 0.7690  -0.01
Mg: 0.3597 0.0000 0.2690  -0.01
Si: 0.0930 0.0000 0.8669  -0.06
Si: 0.0930 0.5000 0.3669  -0.06
Ga: 0.8146 0.0000 0.0819  -0.02
Ga: 0.8146 0.5000 0.5819  -0.02

---

Entry 4:
Density functional theory data (PBE) for a relaxed ZrHgCl4 crystal.

The value obtained for the relative energy among the computed polymorphs is 1668 meV per atom. The value obtained for the uncorrected formation energy is 0.2479 eV/atom. The magnetic moment is 0.02 μB/f.u. For the total DFT energy (no corrections), the calculation gives -2.458 eV per atom.

Lattice parameters (Å, degrees): 5.7945 5.7945 5.7945 60.00 60.00 60.00
Each line ends with the local moment (μB).
Atoms (fractional coordinates):
Cl: 0.3743 0.3743 0.8771  -0.27
Cl: 0.3743 0.8771 0.3743  -0.27
Cl: 0.8771 0.3743 0.3743  -0.27
Cl: 0.3743 0.3743 0.3743  -0.27
Zr: 0.0000 0.0000 0.0000  0.91
Hg: 0.7500 0.7500 0.7500  -0.02

---

Entry 5:
Density functional theory data (PBE) for a relaxed PrMgGaPd crystal.

The magnetic moment is 0.00 μB/f.u. For the total DFT energy (no corrections), the calculation gives -4.227 eV per atom. The value obtained for the energy of formation is -0.579 eV/atom.

Lattice parameters (Å, degrees): 4.9472 4.9472 4.9472 60.00 60.00 60.00
Atoms (fractional coordinates):
Mg: 0.5000 0.5000 0.5000
Pr: 0.0000 0.0000 0.0000
Pd: 0.2500 0.2500 0.2500
Ga: 0.7500 0.7500 0.7500

---

Entry 6:
Density functional theory data (PBE) for a relaxed Cs2NiOsCl6 crystal.

The value obtained for the uncorrected formation energy is -0.8663 eV/atom. The magnetic moment is 2.00 μB/f.u. For the total DFT energy (no corrections), the calculation gives -3.846 eV per atom.

Lattice parameters (Å, degrees): 6.7871 6.7871 7.5215 63.18 63.18 90.00
Each line ends with the local moment (μB).
Atoms (fractional coordinates):
Cl: 0.2532 0.7468 0.0000  0.06
Cl: 0.7468 0.2532 0.0000  0.06
Cl: 0.7468 0.7468 0.0000  0.04
Cl: 0.2532 0.2532 0.0000  0.04
Cl: 0.7932 0.7932 0.4135  0.01
Cl: 0.2068 0.2068 0.5865  0.01
Ni: 0.5000 0.5000 0.0000  0.85
Cs: 0.2500 0.7500 0.5000  0.00
Cs: 0.7500 0.2500 0.5000  0.00
Os: 0.0000 0.0000 0.0000  0.81

---

Entry 7:
Density functional theory data (PBE) for a relaxed YBeCr2Se crystal.

The value obtained for the uncorrected formation energy is 2.2358 eV/atom. The magnetic moment is 0.41 μB/f.u. For the total DFT energy (no corrections), the calculation gives -4.349 eV per atom.

Lattice parameters (Å, degrees): 4.6513 4.7584 4.6513 90.00 90.00 90.00
Each line ends with the local moment (μB).
Atoms (fractional coordinates):
Cr: 0.0000 0.0000 0.5000  -0.12
Cr: 0.5000 0.0000 0.0000  -0.43
Be: 0.0000 0.5000 0.0000  0.01
Y: 0.0000 0.0000 0.0000  0.03
Se: 0.5000 0.5000 0.5000  0.05

---

Entry 8:
Density functional theory data (PBE) for a relaxed CaNd2TlO crystal.

The value obtained for the uncorrected formation energy is -1.3511 eV/atom. The magnetic moment is 0.00 μB/f.u. For the total DFT energy (no corrections), the calculation gives -5.123 eV per atom.

Lattice parameters (Å, degrees): 4.8664 5.0000 5.0000 90.00 90.00 90.00
Atoms (fractional coordinates):
Nd: 0.0000 0.5000 0.0000
Nd: 0.0000 0.0000 0.5000
Ca: 0.5000 0.0000 0.0000
Tl: 0.5000 0.5000 0.5000
O: 0.0000 0.0000 0.0000

---

Entry 9:
Density functional theory data (PBE) for a relaxed CaAcTb2Tl4 crystal.

The magnetic moment is 0.00 μB/f.u. For the total DFT energy (no corrections), the calculation gives -3.452 eV per atom. The value obtained for the energy of formation is -0.348 eV/atom.

Lattice parameters (Å, degrees): 5.5163 5.5163 9.7122 73.50 73.50 60.00
Atoms (fractional coordinates):
Tl: 0.1274 0.1274 0.6177
Tl: 0.8726 0.8726 0.3823
Tl: 0.3784 0.3784 0.8649
Tl: 0.6216 0.6216 0.1351
Ac: 0.0000 0.0000 0.0000
Tb: 0.7540 0.7540 0.7379
Tb: 0.2460 0.2460 0.2621
Ca: 0.5000 0.5000 0.5000

---

Entry 10:
Density functional theory data (PBE) for a relaxed CuBiAs2O8 crystal.

The value obtained for the uncorrected formation energy is -0.8783 eV/atom. The magnetic moment is 1.16 μB/f.u. For the total DFT energy (no corrections), the calculation gives -5.623 eV per atom.

Lattice parameters (Å, degrees): 5.8957 5.8957 5.8957 107.01 107.01 114.51
Each line ends with the local moment (μB).
Atoms (fractional coordinates):
Bi: 0.0000 0.0000 0.0000  0.01
O: 0.3195 0.1335 0.8140  0.07
O: 0.3855 0.0639 0.3216  0.04
O: 0.4945 0.6805 0.8140  0.07
O: 0.8665 0.6805 0.1860  0.07
O: 0.9361 0.6145 0.6784  0.04
O: 0.7424 0.0639 0.6784  0.04
O: 0.3195 0.5055 0.1860  0.07
O: 0.9361 0.2576 0.3216  0.04
Cu: 0.2500 0.7500 0.5000  0.63
As: 0.7500 0.2500 0.5000  0.00
As: 0.5000 0.5000 0.0000  0.00

---

Entry 11:
Density functional theory data (PBE) for a relaxed ScBiPdAu crystal.

The magnetic moment is 0.00 μB/f.u. For the total DFT energy (no corrections), the calculation gives -5.185 eV per atom. The value obtained for the energy of formation is -0.514 eV/atom.

Lattice parameters (Å, degrees): 4.8815 4.8815 4.8815 60.00 60.00 60.00
Atoms (fractional coordinates):
Au: 0.0000 0.0000 0.0000
Sc: 0.7500 0.7500 0.7500
Bi: 0.2500 0.2500 0.2500
Pd: 0.5000 0.5000 0.5000

---

Entry 12:
Density functional theory data (PBE) for a relaxed Y6Ho3Er2 crystal.

The value obtained for the relative energy among the computed polymorphs is 278 meV per atom. The magnetic moment is 0.00 μB/f.u. For the total DFT energy (no corrections), the calculation gives -5.300 eV per atom. The value obtained for the energy of formation is 0.304 eV/atom.

Lattice parameters (Å, degrees): 4.7073 4.7073 16.9591 97.98 97.98 90.00
Atoms (fractional coordinates):
Ho: 0.0000 0.0000 0.0000
Ho: 0.8021 0.8021 0.6043
Ho: 0.1979 0.1979 0.3957
Y: 0.3011 0.3011 0.6023
Y: 0.3795 0.8795 0.7590
Y: 0.1205 0.6205 0.2410
Y: 0.6205 0.1205 0.2410
Y: 0.8795 0.3795 0.7590
Y: 0.6989 0.6989 0.3977
Er: 0.4547 0.4547 0.9094
Er: 0.5453 0.5453 0.0906

---

Entry 13:
Density functional theory data (PBE) for a relaxed Ca2HO crystal.

The value obtained for the relative energy among the computed polymorphs is 0 meV per atom. The magnetic moment is 0.93 μB/f.u. For the total DFT energy (no corrections), the calculation gives -4.557 eV per atom.

Lattice parameters (Å, degrees): 3.5013 3.5013 6.1000 73.32 73.32 60.00
Each line ends with the local moment (μB).
Atoms (fractional coordinates):
H: 0.0000 0.0000 0.0000  -0.01
O: 0.5000 0.5000 0.5000  0.00
Ca: 0.2451 0.2451 0.2647  0.16
Ca: 0.7549 0.7549 0.7353  0.16